First-principles (PBEsol) data for crystalline MnRe2Ru at its relaxed geometry, as listed in Alexandria via LeMat-Bulk.

Summary:
VASP energy = -0.85581 Ry per atom
DOS at the Fermi energy = 0.9586 states/eV/atom
formation enthalpy at 0 K = 0.006 eV per atom
crystal system = orthorhombic

a b c (Å): 2.6924 4.2730 4.6259
angles (deg): 90.00 90.00 90.00
Atoms (fractional coordinates):
Mn (0.0000, 0.0000, 0.0000)
Re (0.5000, 0.0000, 0.5063)
Re (0.5000, 0.5000, 0.8495)
Ru (0.0000, 0.5000, 0.3389)